Below is crystalline CrSnIO2 at its relaxed geometry, with properties calculated at the PBE with a Hubbard U level.

Structure (POSCAR):
```
CrSnIO2
1.0
4.192 0.000 0.000
0.000 4.192 0.000
0.000 0.000 5.282
Cr Sn I O
1 1 1 2
Direct
0.000 0.000 0.000
0.500 0.500 0.500
0.000 0.000 0.500
0.000 0.500 0.000
0.500 0.000 0.000
```

Calculated values
The value obtained for the density of states at the Fermi level is 2.37 states/eV/cell. The value obtained for the total energy is -24.779 eV per formula unit. As for the offset from the most stable computed form: 0.1460 eV per atom. The magnetization is 0.60 μB/atom.